(1)
# FeAsIr

A relaxed FeAsIr crystal (GGA-PBE, Alexandria).

## Properties
* size of the total moment: 2.54 μB/f.u.
* SG: C2/m
* formation energy from the elements: -0.0332 eV per atom

Lattice parameters (Å, degrees): 6.0366 3.6989 8.4298 90.00 105.23 90.00
Closest atoms and distances in Å follow each position.
Sites, in units of the cell vectors:
Fe1 0.0715 0.5000 0.3682  3 As 2.53-2.55, 3 Fe 2.59-2.69, 5 Ir 2.64-2.69
Fe2 0.0715 0.0000 0.8682  3 As 2.53-2.55, 3 Fe 2.59-2.69, 5 Ir 2.64-2.69
Fe3 0.9285 0.5000 0.6318  3 As 2.53-2.55, 3 Fe 2.59-2.69, 5 Ir 2.64-2.69
Fe4 0.9285 0.0000 0.1318  3 As 2.53-2.55, 3 Fe 2.59-2.69, 5 Ir 2.64-2.69
Ir1 0.7764 0.5000 0.9048  4 As 2.56-2.62, 5 Fe 2.64-2.69, 1 Ir 2.75
Ir2 0.2236 0.0000 0.5952  4 As 2.56-2.62, 5 Fe 2.64-2.69, 1 Ir 2.75
Ir3 0.2236 0.5000 0.0952  4 As 2.56-2.62, 5 Fe 2.64-2.69, 1 Ir 2.75
Ir4 0.7764 0.0000 0.4048  4 As 2.56-2.62, 5 Fe 2.64-2.69, 1 Ir 2.75
As1 0.6657 0.5000 0.1781  3 Fe 2.53-2.55, 4 Ir 2.56-2.62
As2 0.3343 0.0000 0.3219  3 Fe 2.53-2.55, 4 Ir 2.56-2.62
As3 0.6657 0.0000 0.6781  3 Fe 2.53-2.55, 4 Ir 2.56-2.62
As4 0.3343 0.5000 0.8219  3 Fe 2.53-2.55, 4 Ir 2.56-2.62

---

(2)
# BeCu2Tc

A relaxed BeCu2Tc crystal (GGA-PBE, Alexandria).

## Properties
* size of the total moment: 0.00 μB/f.u.
* SG: P2/m
* formation energy from the elements: 0.1361 eV per atom

Lattice parameters (Å, degrees): 4.0379 2.4868 4.8318 76.71 90.00 90.00
Closest atoms and distances in Å follow each position.
Sites, in units of the cell vectors:
Cu1 0.0000 0.5894 0.5171  2 Be 2.39, 5 Cu 2.48-2.55, 2 Tc 2.64
Cu2 0.0000 0.9106 0.9829  2 Be 2.39, 5 Cu 2.48-2.55, 2 Tc 2.64
Tc1 0.5000 0.2500 0.2500  2 Be 2.45, 2 Tc 2.49, 8 Cu 2.64-2.73
Be1 0.5000 0.7500 0.7500  4 Cu 2.39, 2 Tc 2.45, 2 Be 2.49

---

(3)
# K2YSi

A relaxed K2YSi crystal (GGA-PBE, Alexandria).

## Properties
* size of the total moment: 0.01 μB/f.u.
* SG: I-4m2
* ΔE_f (raw): 396 meV/atom

Lattice parameters (Å, degrees): 5.5486 5.5486 5.5486 119.93 119.93 90.13
Closest atoms and distances in Å follow each position.
Sites, in units of the cell vectors:
K1 0.2500 0.7500 0.5000  4 K 3.40, 4 Si 3.40
K2 0.0000 0.0000 0.0000  4 K 3.40, 4 Y 3.40
Si1 0.5000 0.5000 0.0000  4 Y 3.40, 4 K 3.40
Y1 0.7500 0.2500 0.5000  4 K 3.40, 4 Si 3.40

---

(4)
# HgIrW2

A relaxed HgIrW2 crystal (GGA-PBE, Alexandria).

## Properties
* size of the total moment: 0.00 μB/f.u.
* SG: Cm
* formation energy from the elements: 0.4175 eV per atom

Lattice parameters (Å, degrees): 4.9912 4.9912 5.0359 80.42 80.42 32.84
Closest atoms and distances in Å follow each position.
Sites, in units of the cell vectors:
Ir1 0.2657 0.2657 0.2223  4 W 2.67-2.72, 2 Ir 2.82, 1 Hg 2.85
W1 0.7393 0.7393 0.7721  2 Ir 2.72, 5 W 2.82-2.88, 3 Hg 2.85-3.00
W2 0.9936 0.9936 0.0056  2 Ir 2.67, 5 W 2.82-2.88, 4 Hg 2.87-2.90
Hg1 0.5015 0.5015 0.4999  2 Hg 2.82, 3 Ir 2.85-3.02, 7 W 2.85-3.00

---

(5)
# PAu2

A relaxed PAu2 crystal (GGA-PBE, Alexandria).

## Properties
* size of the total moment: 0.00 μB/f.u.
* SG: P6/mmm
* formation energy from the elements: 0.2836 eV per atom

Lattice parameters (Å, degrees): 4.7551 4.7547 2.7866 89.99 90.00 120.00
Closest atoms and distances in Å follow each position.
Sites, in units of the cell vectors:
Au1 0.3333 0.6666 0.0000  3 P 2.74-2.75, 5 Au 2.75-2.79
Au2 0.6667 0.3334 0.0000  3 P 2.74-2.75, 5 Au 2.75-2.79
P1 0.0000 0.0000 0.0000  6 Au 2.74-2.75, 2 P 2.79

---

(6)
# Sm3Dy4Au4

A relaxed Sm3Dy4Au4 crystal (GGA-PBE, Alexandria).

## Properties
* size of the total moment: 0.00 μB/f.u.
* SG: Immm
* formation energy from the elements: -0.5691 eV per atom

Lattice parameters (Å, degrees): 4.8641 7.7339 9.1227 115.08 105.46 90.00
Closest atoms and distances in Å follow each position.
Sites, in units of the cell vectors:
Au1 0.5000 0.8110 0.0000  2 Dy 2.83, 1 Au 2.92
Au2 0.7945 0.2945 0.5889  6 Dy 2.93-2.99, 1 Sm 3.25
Au3 0.5000 0.1890 0.0000  2 Dy 2.83, 1 Au 2.92
Au4 0.2055 0.7055 0.4111  6 Dy 2.93-2.99, 1 Sm 3.25
Sm1 0.0000 0.5000 0.0000  6 Au 3.25-3.42
Sm2 0.1026 0.1026 0.2053  1 Sm 3.24, 4 Au 3.27, 4 Dy 3.47
Sm3 0.8974 0.8974 0.7947  1 Sm 3.24, 4 Au 3.27, 4 Dy 3.47
Dy1 0.6726 0.8873 0.3452  4 Au 2.83-2.99
Dy2 0.6726 0.4580 0.3452  4 Au 2.83-2.99
Dy3 0.3274 0.1127 0.6548  4 Au 2.83-2.99
Dy4 0.3274 0.5420 0.6548  4 Au 2.83-2.99

---

(7)
# InTc2Sn

A relaxed InTc2Sn crystal (GGA-PBE, Alexandria).

## Properties
* size of the total moment: 3.60 μB/f.u.
* ΔE to the lowest computed polymorph: 525 meV/atom
* SG: I-42d
* formation energy from the elements: 0.8237 eV per atom

Lattice parameters (Å, degrees): 7.3752 7.3752 6.0035 52.10 52.10 90.00
Closest atoms and distances in Å follow each position.
Sites, in units of the cell vectors:
Sn1 0.7500 0.2500 0.5000  4 Tc 2.67, 2 In 2.97
Sn2 0.0000 0.0000 0.0000  4 Tc 2.67, 2 In 2.97
Tc1 0.3750 0.3663 0.7500  2 Sn 2.67, 2 In 2.76, 2 Tc 2.98
Tc2 0.1163 0.6250 0.2500  2 Sn 2.67, 2 In 2.76, 2 Tc 2.98
Tc3 0.8750 0.8837 0.7500  2 Sn 2.67, 2 In 2.76, 2 Tc 2.98
Tc4 0.6337 0.1250 0.2500  2 Sn 2.67, 2 In 2.76, 2 Tc 2.98
In1 0.5000 0.5000 0.0000  4 Tc 2.76, 2 Sn 2.97
In2 0.2500 0.7500 0.5000  4 Tc 2.76, 2 Sn 2.97

---

(8)
# Ti3HPb2

A relaxed Ti3HPb2 crystal (GGA-PBE, Alexandria).

## Properties
* final energy: -5.688 eV per atom
* size of the total moment: 0.00 μB/f.u.
* SG: Cmcm

Lattice parameters (Å, degrees): 5.6300 6.3798 6.3798 106.91 90.00 90.00
Closest atoms and distances in Å follow each position.
Sites, in units of the cell vectors:
Pb1 0.7613 0.1849 0.4879  7 Ti 2.90-3.22, 1 Pb 3.11
Pb2 0.2613 0.8151 0.5121  7 Ti 2.90-3.22, 1 Pb 3.11
Pb3 0.7613 0.4879 0.1849  7 Ti 2.90-3.22, 1 Pb 3.11
Pb4 0.2613 0.5121 0.8151  7 Ti 2.90-3.22, 1 Pb 3.11
Ti1 0.5113 0.1329 0.8671  2 H 2.00
Ti2 0.7615 0.6930 0.6930  1 H 1.92
Ti3 0.5113 0.8671 0.1329  2 H 2.00
Ti4 0.0113 0.8671 0.1329  2 H 2.00
Ti5 0.2615 0.3070 0.3070  1 H 1.92
Ti6 0.0113 0.1329 0.8671  2 H 2.00
H1 0.2613 0.0548 0.0548  5 Ti 1.92-2.00
H2 0.7613 0.9452 0.9452  5 Ti 1.92-2.00

---

(9)
# Tb2SnSb

A relaxed Tb2SnSb crystal (GGA-PBE, Alexandria).

## Properties
* size of the total moment: 0.00 μB/f.u.
* ΔE to the lowest computed polymorph: 0 meV/atom
* SG: Cmcm
* ΔE_f (raw): -939 meV/atom

Lattice parameters (Å, degrees): 4.3409 4.4872 12.1738 100.62 90.00 90.00
Closest atoms and distances in Å follow each position.
Sites, in units of the cell vectors:
Tb1 0.7500 0.6836 0.3671  5 Sb 3.07-3.12, 1 Sn 3.29
Tb2 0.7500 0.9373 0.8746  1 Sb 3.00, 4 Sn 3.15
Tb3 0.2500 0.0627 0.1254  1 Sb 3.00, 4 Sn 3.15
Tb4 0.2500 0.3164 0.6329  5 Sb 3.07-3.12, 1 Sn 3.29
Sb1 0.7500 0.8118 0.6236  6 Tb 3.00-3.12
Sb2 0.2500 0.1882 0.3764  6 Tb 3.00-3.12
Sn1 0.2500 0.4538 0.9075  2 Sn 3.10, 7 Tb 3.15-3.44
Sn2 0.7500 0.5462 0.0925  2 Sn 3.10, 7 Tb 3.15-3.44

---

(10)
# PuBrCl4

A relaxed PuBrCl4 crystal (GGA-PBE, Alexandria).

## Properties
* size of the total moment: 5.00 μB/f.u.
* SG: P2_1/c
* ΔE_f (raw): -1251 meV/atom

Lattice parameters (Å, degrees): 11.1751 7.7495 6.6020 90.00 90.00 46.95
Closest atoms and distances in Å follow each position.
Sites, in units of the cell vectors:
Cl1 0.7261 0.2646 0.7617  1 Br 2.43
Cl2 0.8818 0.3689 0.2466  2 Pu 2.72
Cl3 0.8818 0.8689 0.2534  2 Pu 2.72
Cl4 0.1182 0.6311 0.7534  2 Pu 2.72
Cl5 0.1182 0.1311 0.7466  2 Pu 2.72
Cl6 0.2739 0.7354 0.2383  1 Br 2.43
Cl7 0.2739 0.2354 0.2617  1 Br 2.43
Cl8 0.7261 0.7646 0.7383  1 Br 2.43
Br1 0.5000 0.5000 0.0000  2 Cl 2.43
Br2 0.5000 0.0000 0.5000  2 Cl 2.43
Pu1 0.0000 0.0000 0.0000  6 Cl 2.72-2.73
Pu2 0.0000 0.5000 0.5000  6 Cl 2.72-2.73

---

(11)
# Cs12Mg3Br5

A relaxed Cs12Mg3Br5 crystal (GGA-PBE, Alexandria).

## Properties
* size of the total moment: 2.05 μB/f.u.
* SG: Ia-3d
* ΔE_f (raw): -710 meV/atom

Lattice parameters (Å, degrees): 19.7303 19.7303 19.7303 109.47 109.47 109.47
Closest atoms and distances in Å follow each position.
Sites, in units of the cell vectors:
Br1 0.6250 0.7500 0.8750  4 Cs 3.49
Br2 0.7500 0.6250 0.3750  4 Cs 3.49
Br3 0.0000 0.5000 0.0000  6 Cs 3.71
Br4 0.5000 0.0000 0.0000  6 Cs 3.71
Br5 0.3750 0.1250 0.7500  4 Cs 3.49
Br6 0.6250 0.8750 0.2500  4 Cs 3.49
Br7 0.3750 0.2500 0.1250  4 Cs 3.49
Br8 0.7500 0.1250 0.8750  4 Cs 3.49
Br9 0.5000 0.5000 0.0000  6 Cs 3.71
Br10 0.5000 0.5000 0.5000  6 Cs 3.71
Br11 0.0000 0.0000 0.0000  6 Cs 3.71
Br12 0.5000 0.0000 0.5000  6 Cs 3.71
Br13 0.1250 0.3750 0.2500  4 Cs 3.49
Br14 0.0000 0.0000 0.5000  6 Cs 3.71
Br15 0.8750 0.6250 0.7500  4 Cs 3.49
Br16 0.0000 0.5000 0.5000  6 Cs 3.71
Br17 0.2500 0.8750 0.1250  4 Cs 3.49
Br18 0.2500 0.3750 0.6250  4 Cs 3.49
Br19 0.1250 0.7500 0.3750  4 Cs 3.49
Br20 0.8750 0.2500 0.6250  4 Cs 3.49
Cs1 0.9157 0.0906 0.6243  2 Br 3.49-3.71
Cs2 0.1243 0.4157 0.0906  2 Br 3.49-3.71
Cs3 0.0336 0.4094 0.8251  2 Br 3.49-3.71
Cs4 0.4157 0.1243 0.5906  2 Br 3.49-3.71
Cs5 0.6749 0.4664 0.5906  2 Br 3.49-3.71
Cs6 0.2086 0.5336 0.6243  2 Br 3.49-3.71
Cs7 0.6243 0.5906 0.9157  2 Br 3.49-3.71
Cs8 0.5843 0.8757 0.4094  2 Br 3.49-3.71
Cs9 0.7086 0.1243 0.0336  2 Br 3.49-3.71
Cs10 0.9094 0.0843 0.8757  2 Br 3.49-3.71
Cs11 0.5906 0.6243 0.4157  2 Br 3.49-3.71
Cs12 0.2914 0.8757 0.9664  2 Br 3.49-3.71
Cs13 0.3757 0.9664 0.7914  2 Br 3.49-3.71
Cs14 0.3251 0.5336 0.4094  2 Br 3.49-3.71
Cs15 0.8757 0.5843 0.9094  2 Br 3.49-3.71
Cs16 0.4157 0.2914 0.3251  2 Br 3.49-3.71
Cs17 0.6243 0.0336 0.2086  2 Br 3.49-3.71
Cs18 0.3757 0.4094 0.0843  2 Br 3.49-3.71
Cs19 0.0843 0.9094 0.3757  2 Br 3.49-3.71
Cs20 0.5336 0.2086 0.1243  2 Br 3.49-3.71
Cs21 0.0906 0.1749 0.4664  2 Br 3.49-3.71
Cs22 0.2086 0.6749 0.0843  2 Br 3.49-3.71
Cs23 0.0906 0.9157 0.1243  2 Br 3.49-3.71
Cs24 0.4664 0.7914 0.8757  2 Br 3.49-3.71
Cs25 0.0336 0.6243 0.7086  2 Br 3.49-3.71
Cs26 0.4094 0.0336 0.3251  2 Br 3.49-3.71
Cs27 0.1749 0.0843 0.7086  2 Br 3.49-3.71
Cs28 0.4094 0.3757 0.5843  2 Br 3.49-3.71
Cs29 0.7086 0.5843 0.1749  2 Br 3.49-3.71
Cs30 0.4664 0.6749 0.0906  2 Br 3.49-3.71
Cs31 0.9664 0.3757 0.2914  2 Br 3.49-3.71
Cs32 0.8251 0.9157 0.2914  2 Br 3.49-3.71
Cs33 0.8757 0.2914 0.4664  2 Br 3.49-3.71
Cs34 0.7914 0.3251 0.9157  2 Br 3.49-3.71
Cs35 0.9094 0.8251 0.5336  2 Br 3.49-3.71
Cs36 0.5906 0.9664 0.6749  2 Br 3.49-3.71
Cs37 0.6749 0.2086 0.5843  2 Br 3.49-3.71
Cs38 0.8251 0.9094 0.0336  2 Br 3.49-3.71
Cs39 0.3251 0.7914 0.4157  2 Br 3.49-3.71
Cs40 0.9157 0.8251 0.7914  2 Br 3.49-3.71
Cs41 0.1243 0.7086 0.5336  2 Br 3.49-3.71
Cs42 0.1749 0.0906 0.9664  2 Br 3.49-3.71
Cs43 0.5336 0.3251 0.9094  2 Br 3.49-3.71
Cs44 0.5843 0.7086 0.6749  2 Br 3.49-3.71
Cs45 0.0843 0.1749 0.2086  2 Br 3.49-3.71
Cs46 0.9664 0.5906 0.1749  2 Br 3.49-3.71
Cs47 0.2914 0.4157 0.8251  2 Br 3.49-3.71
Cs48 0.7914 0.4664 0.3757  2 Br 3.49-3.71
Mg1 0.6250 0.3750 0.7500  8 Cs 4.33-4.43
Mg2 0.8750 0.7500 0.1250  8 Cs 4.33-4.43
Mg3 0.3750 0.6250 0.2500  8 Cs 4.33-4.43
Mg4 0.7500 0.3750 0.1250  8 Cs 4.33-4.43
Mg5 0.3750 0.7500 0.6250  8 Cs 4.33-4.43
Mg6 0.2500 0.1250 0.3750  8 Cs 4.33-4.43
Mg7 0.1250 0.8750 0.7500  8 Cs 4.33-4.43
Mg8 0.1250 0.2500 0.8750  8 Cs 4.33-4.43
Mg9 0.7500 0.8750 0.6250  8 Cs 4.33-4.43
Mg10 0.2500 0.6250 0.8750  8 Cs 4.33-4.43
Mg11 0.8750 0.1250 0.2500  8 Cs 4.33-4.43
Mg12 0.6250 0.2500 0.3750  8 Cs 4.33-4.43

---

(12)
# Mg2Ga5Ag5

A relaxed Mg2Ga5Ag5 crystal (GGA-PBE, Alexandria).

## Properties
* size of the total moment: 0.00 μB/f.u.
* SG: C2/m
* formation energy from the elements: -0.0682 eV per atom

Lattice parameters (Å, degrees): 4.1784 6.4673 8.9303 72.59 76.47 71.15
Closest atoms and distances in Å follow each position.
Sites, in units of the cell vectors:
Ag1 0.1654 0.1703 0.4990  5 Ga 2.83-2.93, 2 Mg 2.89-2.91, 5 Ag 2.95-3.04
Ag2 0.2525 0.7364 0.7585  6 Ga 2.86-2.95, 2 Mg 2.89, 4 Ag 2.94-3.04
Ag3 0.0000 0.0000 0.0000  8 Ga 2.87-3.02, 2 Mg 2.92, 2 Ag 2.94
Ag4 0.7475 0.2636 0.2415  6 Ga 2.86-2.95, 2 Mg 2.89, 4 Ag 2.94-3.04
Ag5 0.8346 0.8297 0.5010  5 Ga 2.83-2.93, 2 Mg 2.89-2.91, 5 Ag 2.95-3.04
Ga1 0.4056 0.9307 0.2582  7 Ag 2.83-3.02, 3 Ga 2.87-2.99, 2 Mg 2.98
Ga2 0.3408 0.3218 0.9965  5 Ag 2.86-2.94, 4 Ga 2.87-3.03, 3 Mg 2.96-3.05
Ga3 0.5000 0.5000 0.5000  6 Ag 2.91-2.95, 2 Ga 2.94, 4 Mg 2.95
Ga4 0.6592 0.6782 0.0035  5 Ag 2.86-2.94, 4 Ga 2.87-3.03, 3 Mg 2.96-3.05
Ga5 0.5944 0.0693 0.7418  7 Ag 2.83-3.02, 3 Ga 2.87-2.99, 2 Mg 2.98
Mg1 0.9192 0.4146 0.7471  5 Ag 2.89-2.92, 7 Ga 2.95-3.05
Mg2 0.0808 0.5854 0.2529  5 Ag 2.89-2.92, 7 Ga 2.95-3.05